! GGA+U Y6MoO12, optimized geometry; values from VASP
&SYSTEM
  ibrav = 0, nat = 19, ntyp = 3
/
ATOMIC_SPECIES
Y 88.91 Y.upf
Mo 95.94 Mo.upf
O 16.00 O.upf
CELL_PARAMETERS angstrom
4.929 2.846 3.141
-4.929 2.846 3.141
0.000 -5.691 3.141
ATOMIC_POSITIONS crystal
Y 0.111 0.644 0.815
Y 0.185 0.889 0.356
Y 0.356 0.185 0.889
Y 0.644 0.815 0.111
Y 0.815 0.111 0.644
Y 0.889 0.356 0.185
Mo 0.500 0.500 0.500
O 0.068 0.323 0.909
O 0.091 0.932 0.677
O 0.204 0.534 0.424
O 0.323 0.909 0.068
O 0.424 0.204 0.534
O 0.466 0.576 0.796
O 0.534 0.424 0.204
O 0.576 0.796 0.466
O 0.677 0.091 0.932
O 0.796 0.466 0.576
O 0.909 0.068 0.323
O 0.932 0.677 0.091
! ρ = 5.16 g/cm³
! E above lowest polymorph = 0 meV per atom
! Symmetry = R-3, No. 148
! Energy = -8.7328 eV per atom
! DOS(E_F) = 0.000 states/eV/atom